i:
The following is a PBE-GGA calculation of a relaxed MgIn2Hg4 crystal, from Alexandria.

Properties
Spin magnetization ... 0.0 μB/f.u.

a = 7.279 Å, b = 6.608 Å, c = 8.001 Å
α = 90.00°, β = 108.62°, γ = 90.00°
Space group P2_1/m (No. 11)
Unique sites:
Mg 0.239 0.250 0.294 [2 per cell]
In 0.163 0.750 0.067 [2 per cell]
In 0.299 0.750 0.545 [2 per cell]
Hg 0.079 0.017 0.728 [4 per cell]
Hg 0.426 0.250 0.667 [2 per cell]
Hg 0.445 0.250 0.052 [2 per cell]

***

ii:
The following is a PBE-GGA calculation of a relaxed MgIn2Hg4 crystal, from Alexandria.

Properties
Spin magnetization ... 0.0 μB/f.u.

a = 5.473 Å, b = 5.473 Å, c = 14.702 Å
α = 90.00°, β = 90.00°, γ = 90.00°
Space group I4/mmm (No. 139)
Unique sites:
Mg 0.000 0.000 0.000 [2 per cell]
In 0.000 0.000 0.390 [4 per cell]
Hg 0.000 0.000 0.192 [4 per cell]
Hg 0.000 0.500 0.000 [4 per cell]

***

iii:
The following is a PBE-GGA calculation of a relaxed MgIn2Hg4 crystal, from Alexandria.

Properties
Spin magnetization ... 0.0 μB/f.u.

a = 5.218 Å, b = 5.218 Å, c = 13.459 Å
α = 90.00°, β = 90.00°, γ = 90.00°
Space group I4/mmm (No. 139)
Unique sites:
Mg 0.000 0.000 0.000 [2 per cell]
In 0.000 0.000 0.256 [4 per cell]
Hg 0.000 0.500 0.111 [8 per cell]

***

Stability, highest: iii

***

i:
The following is a PBE-GGA calculation of a relaxed MgIn3Hg6 crystal, from Alexandria.

Properties
Spin magnetization ... 0.0 μB/f.u.

a = 6.407 Å, b = 11.387 Å, c = 15.881 Å
α = 90.00°, β = 90.00°, γ = 90.00°
Space group Fmmm (No. 69)
Unique sites:
Mg 0.000 0.000 0.000 [4 per cell]
In 0.000 0.000 0.500 [4 per cell]
In 0.250 0.250 0.250 [8 per cell]
Hg 0.000 0.244 0.000 [8 per cell]
Hg 0.241 0.000 0.157 [16 per cell]

***

ii:
The following is a PBE-GGA calculation of a relaxed MgIn3Hg6 crystal, from Alexandria.

Properties
Spin magnetization ... 0.0 μB/f.u.

a = 3.238 Å, b = 12.606 Å, c = 12.864 Å
α = 80.57°, β = 89.52°, γ = 82.64°
Space group P-1 (No. 2)
Unique sites:
Mg 0.120 0.265 0.341 [2 per cell]
In 0.077 0.329 0.718 [2 per cell]
In 0.209 0.117 0.971 [2 per cell]
In 0.457 0.571 0.844 [2 per cell]
Hg 0.041 0.362 0.948 [2 per cell]
Hg 0.263 0.923 0.235 [2 per cell]
Hg 0.277 0.952 0.603 [2 per cell]
Hg 0.330 0.822 0.834 [2 per cell]
Hg 0.364 0.770 0.457 [2 per cell]
Hg 0.473 0.538 0.606 [2 per cell]

***

Stability, highest: ii